Here is an optimized crystal structure of Ca2CrCuN from Alexandria via LeMat-Bulk. Energies are from PBE-GGA.

Unit cell a=5.035 b=5.035 c=3.769 alpha=90.00 beta=90.00 gamma=90.00
Fractional coordinates of all 5 atoms:
Ca 0.000 0.500 0.000
Ca 0.500 0.000 0.000
Cr 0.000 0.000 0.500
Cu 0.500 0.500 0.500
N 0.000 0.000 0.000

Formation energy from raw total energies, eV/atom: -0.3161
Density of states at the Fermi level, states/eV/atom: 0.658